Material: PmHoMnAg
Method: DFT, PBE-GGA
State: optimized geometry

a = 5.143 Å, b = 5.143 Å, c = 5.143 Å
α = 60.00°, β = 60.00°, γ = 60.00°
Element x y z (fractional)
Pm: 0.000 0.000 0.000
Ho: 0.500 0.500 0.500
Mn: 0.250 0.250 0.250
Ag: 0.750 0.750 0.750

## Properties
The calculation puts the calculated total energy at -5.323 eV per atom. As for the space group: F-43m, No. 216. The formation energy from the elements comes out at 0.015 eV/atom.